Here is a relaxed ZnGe2B crystal from OQMD via LeMat-Bulk. Energies are from PBE-GGA.

Output
Energy, eV/atom: -3.34

a b c (Å): 4.4720 4.4720 4.4720
angles (deg): 60.00 60.00 60.00
Element x y z (fractional)
Ge  0.0000  0.0000  0.0000
Ge  0.2500  0.2500  0.2500
Zn  0.5000  0.5000  0.5000
B  0.7500  0.7500  0.7500

---

Here is a relaxed Zn2Ge3B2 crystal from OQMD via LeMat-Bulk. Energies are from PBE-GGA.

Output
Energy, eV/atom: -3.71

a b c (Å): 9.2215 9.2215 9.2215
angles (deg): 23.03 23.03 23.03
Element x y z (fractional)
Ge  0.6559  0.6559  0.6559
Ge  0.3951  0.3951  0.3951
Ge  0.9022  0.9022  0.9022
B  0.4738  0.4738  0.4738
B  0.9790  0.9790  0.9790
Zn  0.1801  0.1801  0.1801
Zn  0.7890  0.7890  0.7890

---

Here is a relaxed ZnGeB2 crystal from OQMD via LeMat-Bulk. Energies are from PBE-GGA.

Output
Energy, eV/atom: -3.29

a b c (Å): 4.1078 4.1078 4.1078
angles (deg): 60.00 60.00 60.00
Element x y z (fractional)
B  0.2500  0.2500  0.2500
B  0.5000  0.5000  0.5000
Ge  0.7500  0.7500  0.7500
Zn  0.0000  0.0000  0.0000

---

Here is a relaxed ZnGeB4 crystal from OQMD via LeMat-Bulk. Energies are from PBE-GGA.

Output
ΔE to the lowest computed polymorph, meV/atom: 0.0

a b c (Å): 3.0642 3.0642 7.2126
angles (deg): 90.00 90.00 120.00
Element x y z (fractional)
B  0.3333  0.6667  0.2650
B  0.6667  0.3333  0.2650
B  0.6667  0.3333  0.7350
B  0.3333  0.6667  0.7350
Zn  0.0000  0.0000  0.5000
Ge  0.0000  0.0000  0.0000

---

Here is a relaxed ZrGe2B crystal from OQMD via LeMat-Bulk. Energies are from PBE-GGA.

Output
Energy, eV/atom: -5.46

a b c (Å): 4.5618 4.5618 4.5618
angles (deg): 60.00 60.00 60.00
Element x y z (fractional)
Ge  0.0000  0.0000  0.0000
Ge  0.2500  0.2500  0.2500
Zr  0.5000  0.5000  0.5000
B  0.7500  0.7500  0.7500

---

Here is a relaxed Zr2GeB2 crystal from OQMD via LeMat-Bulk. Energies are from PBE-GGA.

Output
Energy, eV/atom: -7.70

a b c (Å): 6.6632 6.6632 3.4937
angles (deg): 90.00 90.00 152.84
Element x y z (fractional)
B  0.2255  0.7745  0.0000
B  0.7745  0.2255  0.0000
Zr  0.6399  0.3601  0.5000
Zr  0.3601  0.6399  0.5000
Ge  0.0000  0.0000  0.0000